one | A relaxed KSc2Mn crystal, computed with GGA-PBE.

Results
- mass density (g cm⁻³) = 3.04
- total moment (μB per atom) = 0.776

The structure in POSCAR format:
```
KSc2Mn
1.0
5.276 0.000 0.000
0.000 5.276 0.000
0.000 0.000 3.612
K Sc Mn
1 2 1
Direct
0.000 0.000 0.000
0.000 0.500 0.500
0.500 0.000 0.500
0.500 0.500 0.000
```

***

two | A relaxed KSc2Mn crystal, computed with GGA-PBE.

Results
- mass density (g cm⁻³) = 2.75
- total moment (μB per atom) = 1.179

The structure in POSCAR format:
```
KSc2Mn
1.0
3.321 0.000 0.000
0.000 3.321 0.000
0.000 0.000 10.075
K Sc Mn
1 2 1
Direct
0.000 0.000 0.000
0.000 0.000 0.440
0.500 0.500 0.659
0.500 0.500 0.278
```

***

three | A relaxed KSc2Mn crystal, computed with GGA-PBE.

Results
- mass density (g cm⁻³) = 3.00
- total moment (μB per atom) = 0.465

The structure in POSCAR format:
```
KSc2Mn
1.0
3.339 -4.629 0.000
3.339 4.629 0.000
0.000 0.000 3.297
K Sc Mn
1 2 1
Direct
0.000 0.000 0.000
0.000 0.500 0.500
0.500 0.000 0.500
0.500 0.500 0.000
```

***

four | A relaxed KSc2Mn crystal, computed with GGA-PBE.

Results
- mass density (g cm⁻³) = 2.73
- total moment (μB per atom) = 0.142

The structure in POSCAR format:
```
KSc2Mn
1.0
3.569 -1.632 0.000
3.569 1.632 0.000
-0.811 0.000 9.591
K Sc Mn
1 2 1
Direct
0.000 0.000 0.000
0.225 0.225 0.644
0.775 0.775 0.356
0.500 0.500 0.500
```

***

Q: Which of them is the least stable? A: one.

***

one | A relaxed KSc2Mn crystal, computed with GGA-PBE.

Results
- mass density (g cm⁻³) = 2.53
- total moment (μB per atom) = 0.438

The structure in POSCAR format:
```
KSc2Mn
1.0
-1.562 2.251 8.572
1.562 -2.251 8.572
1.562 2.251 -8.572
K Sc Mn
1 2 1
Direct
0.000 0.000 0.000
0.314 0.314 0.000
0.685 0.185 0.500
0.190 0.690 0.500
```

***

two | A relaxed KSc2Mn crystal, computed with GGA-PBE.

Results
- mass density (g cm⁻³) = 2.90
- total moment (μB per atom) = 0.811

The structure in POSCAR format:
```
KSc2Mn
1.0
3.273 -5.624 0.000
3.273 5.624 0.000
-1.289 0.000 2.862
K Sc Mn
1 2 1
Direct
0.000 0.000 0.000
0.000 0.500 0.500
0.500 0.000 0.500
0.500 0.500 0.000
```

***

Q: Which of them is the least stable? A: two.

***

one | A relaxed KSc2Mn crystal, computed with GGA-PBE.

Results
- mass density (g cm⁻³) = 2.92
- total moment (μB per atom) = 0.246

The structure in POSCAR format:
```
KSc2Mn
1.0
3.220 0.000 0.000
0.000 3.228 0.000
-0.026 0.000 10.071
K Sc Mn
1 2 1
Direct
0.000 0.000 0.000
0.499 0.500 0.349
0.501 0.500 0.651
0.000 0.000 0.500
```

***

two | A relaxed KSc2Mn crystal, computed with GGA-PBE.

Results
- mass density (g cm⁻³) = 2.93
- total moment (μB per atom) = 0.410

The structure in POSCAR format:
```
KSc2Mn
1.0
-2.324 2.324 4.824
2.324 -2.324 4.824
2.324 2.324 -4.824
K Sc Mn
1 2 1
Direct
0.000 0.000 0.000
0.500 0.500 0.000
0.750 0.250 0.500
0.250 0.750 0.500
```

***

three | A relaxed KSc2Mn crystal, computed with GGA-PBE.

Results
- mass density (g cm⁻³) = 2.95
- total moment (μB per atom) = 0.098

The structure in POSCAR format:
```
KSc2Mn
1.0
1.675 0.967 10.677
-1.675 0.967 10.677
0.000 -1.934 10.677
K Sc Mn
1 2 1
Direct
0.000 0.000 0.000
0.113 0.113 0.113
0.887 0.887 0.887
0.500 0.500 0.500
```

***

Q: Which of them is the least stable? A: two.